The following is a DFT calculation (PBEsol) of crystalline MnZn2Cu at its relaxed geometry.

Structure (extended XYZ):
```
4
Lattice="-0.659 -1.857 -1.742 4.487 -0.048 0.339 -1.046 -2.842 3.426" Properties=species:S:1:pos:R:3 pbc="T T T"
Mn 1.496 -2.140 -0.271
Cu -0.848 -2.343 0.834
Zn 1.283 -2.600 2.287
Zn -0.002 -0.014 0.016
```

- Calculated formation energy: 82 meV per atom
- Symmetry: Cm, No. 8
- Crystal system: monoclinic
- Calculated density: 8.12 g/cm3